Record 1
Computed, not measured: a relaxed structure of RbIn5Ag3 at the PBE level of DFT.

It has space group Cmcm (No. 63), with a = 4.5843 Å, b = 14.6374 Å, c = 14.8509 Å, α = 90.00°, β = 90.00° and γ = 90.00°. The distinct sites, in fractional coordinates, are Rb at (0.0000, 0.1626, 0.2500), In at (0.0000, 0.0000, 0.0000), In at (0.0000, 0.1969, 0.5699), In at (0.0000, 0.4478, 0.1494), Ag at (0.0000, 0.1212, 0.7500) and Ag at (0.0000, 0.3847, 0.5434).

The crystal system is orthorhombic. Its energy is -2.6128 eV/atom. Its formation energy is -33 meV/atom.

=====

Record 2
Computed, not measured: a relaxed structure of RbIn9Ag2 at the PBE level of DFT.

It has space group I4_1/amd (No. 141, origin choice 2), with a = 12.4760 Å, b = 12.4760 Å, c = 8.4040 Å, α = 90.00°, β = 90.00° and γ = 90.00°. The distinct sites, in fractional coordinates, are Rb at (0.0000, 0.2500, 0.3750), In at (0.0000, 0.2500, 0.8750), In at (0.1229, 0.0537, 0.6780) and Ag at (0.0000, 0.0000, 0.0000).

The crystal system is tetragonal. Its energy is -2.6511 eV/atom. Its formation energy is -41 meV/atom.